[1]
# Hf4TiAl | Alexandria | PBE-GGA | optimized geometry
# Spin magnetization: 1.05 μB/cell
# Formation energy from the elements: 287 kJ/mol of formula units
# E: -8.0786 eV/atom
data_Hf4TiAl
_chemical_formula_sum 'Hf4 Ti1 Al1'
_cell_length_a 4.5703
_cell_length_b 4.5703
_cell_length_c 6.6889
_cell_angle_alpha 90.00
_cell_angle_beta 90.00
_cell_angle_gamma 90.00
_space_group_name_H-M_alt 'P 4/m m m'
_space_group_IT_number 123
_space_group_name_Hall '-P 4 2'
loop_
_atom_site_label
_atom_site_type_symbol
_atom_site_fract_x
_atom_site_fract_y
_atom_site_fract_z
Hf1 Hf 0.0000 0.5000 0.2401
Ti1 Ti 0.0000 0.0000 0.0000
Al1 Al 0.5000 0.5000 0.5000



[2]
# Cd2Ga2I | Alexandria | PBE-GGA | optimized geometry
# Spin magnetization: 0.00 μB/cell
# Excess energy over the best structure of this formula in the dataset: 0 meV/atom
# Raw formation energy: 0.040 eV/atom
# E: -1.8470 eV/atom
data_Cd2Ga2I
_chemical_formula_sum 'Cd4 Ga4 I2'
_cell_length_a 4.5376
_cell_length_b 4.5376
_cell_length_c 13.1431
_cell_angle_alpha 90.00
_cell_angle_beta 90.00
_cell_angle_gamma 90.00
_space_group_name_H-M_alt 'I 4/m m m'
_space_group_IT_number 139
_space_group_name_Hall '-I 4 2'
loop_
_atom_site_label
_atom_site_type_symbol
_atom_site_fract_x
_atom_site_fract_y
_atom_site_fract_z
Cd1 Cd 0.0000 0.5000 0.2500
Ga1 Ga 0.0000 0.0000 0.1006
I1 I 0.0000 0.0000 0.5000



[3]
# BaAgC2 | Alexandria | PBE-GGA | optimized geometry
# Spin magnetization: 0.00 μB/cell
# Excess energy over the best structure of this formula in the dataset: 0 meV/atom
# Formation energy from the elements: 587 kJ/mol of formula units
# E: -4.2835 eV/atom
data_BaAgC2
_chemical_formula_sum 'Ba4 Ag4 C8'
_cell_length_a 4.5379
_cell_length_b 4.5379
_cell_length_c 14.8193
_cell_angle_alpha 90.00
_cell_angle_beta 90.00
_cell_angle_gamma 90.00
_space_group_name_H-M_alt 'I 41/a m d'
_space_group_IT_number 141
loop_
_space_group_symop_operation_xyz
'x,y,z'
'-x,-y,-z'
'-y+1/4,x+3/4,z+1/4'
'y+1/4,-x+3/4,-z+1/4'
'-x+1/2,-y,z+1/2'
'x+1/2,y,-z+1/2'
'y+1/4,-x+1/4,z+3/4'
'-y+1/4,x+1/4,-z+3/4'
'x,-y,-z'
'-x,y,z'
'-y+1/4,-x+1/4,-z+3/4'
'y+1/4,x+1/4,z+3/4'
'-x+1/2,y,-z+1/2'
'x+1/2,-y,z+1/2'
'y+1/4,x+3/4,-z+1/4'
'-y+1/4,-x+3/4,z+1/4'
'x+1/2,y+1/2,z+1/2'
'-x+1/2,-y+1/2,-z+1/2'
'-y+3/4,x+1/4,z+3/4'
'y+3/4,-x+1/4,-z+3/4'
'-x,-y+1/2,z'
'x,y+1/2,-z'
'y+3/4,-x+3/4,z+1/4'
'-y+3/4,x+3/4,-z+1/4'
'x+1/2,-y+1/2,-z+1/2'
'-x+1/2,y+1/2,z+1/2'
'-y+3/4,-x+3/4,-z+1/4'
'y+3/4,x+3/4,z+1/4'
'-x,y+1/2,-z'
'x,-y+1/2,z'
'y+3/4,x+1/4,-z+3/4'
'-y+3/4,-x+1/4,z+3/4'
loop_
_atom_site_label
_atom_site_type_symbol
_atom_site_fract_x
_atom_site_fract_y
_atom_site_fract_z
Ba1 Ba 0.0000 0.2500 0.3750
Ag1 Ag 0.0000 0.2500 0.8750
C1 C 0.0000 0.0000 0.0000